AcTbEuCd | GGA-PBE | optimized geometry

Structure (extended XYZ):
```
4
Lattice="0.000 4.072 4.072 4.072 0.000 4.072 4.072 4.072 0.000" Properties=species:S:1:pos:R:3 pbc="T T T"
Ac 0.000 0.000 0.000
Tb 2.036 2.036 2.036
Eu 6.107 6.107 6.107
Cd 4.072 4.072 4.072
```

Properties
Its theoretical density is 8.0 g/cm3. The value obtained for the total energy is -4.916 eV per atom. As for the formation energy: 0.3 eV per formula unit.